Record 1
This record from Alexandria via LeMat-Bulk describes a relaxed structure of ZrGa2Cu. The functional is PBE-GGA.

Cell: 4.560 4.560 4.560 Å, 60.00 60.00 60.00°
Atoms (fractional coordinates):
Zr  0.000  0.000  0.000
Ga  0.250  0.250  0.250
Ga  0.750  0.750  0.750
Cu  0.500  0.500  0.500

Crystal system: cubic
Energy of formation from the pure elements in eV per atom: -0.14
Total DFT energy (no corrections) in eV per formula unit: -19.3


Record 2
This record from Alexandria via LeMat-Bulk describes a relaxed structure of Cd3C5. The functional is PBE-GGA.

Cell: 2.661 2.661 13.316 Å, 90.00 90.00 90.00°
Atoms (fractional coordinates):
Cd  0.000  0.000  0.000
Cd  0.500  0.500  0.374
Cd  0.500  0.500  0.626
C  0.000  0.000  0.187
C  0.000  0.000  0.500
C  0.000  0.000  0.813
C  0.500  0.500  0.197
C  0.500  0.500  0.803

Relative energy among the computed polymorphs in meV/atom: 1161
Crystal system: tetragonal
Energy of formation from the pure elements in eV per atom: 2.32
Total DFT energy (no corrections) in eV per formula unit: -30.3


Record 3
This record from Alexandria via LeMat-Bulk describes a relaxed structure of CoSbAsSe2. The functional is PBE-GGA.

Cell: 4.929 4.929 4.342 Å, 90.00 90.00 90.00°
Atoms (fractional coordinates):
Co  0.000  0.000  0.000
Sb  0.500  0.500  0.500
As  0.000  0.000  0.500
Se  0.000  0.500  0.000
Se  0.500  0.000  0.000

Relative energy among the computed polymorphs in meV/atom: 0
Crystal system: tetragonal
Total DFT energy (no corrections) in eV per formula unit: -21.5